## FeBi2IrO6 (GGA+U)

Data for a geometry-optimized FeBi2IrO6 structure.

* magnetization: 10.00 Bohr magnetons per cell
* DFT total energy: -6.274 eV/atom

abc: 5.4617 5.8555 9.5447
angles: 90.00 124.30 90.00
With the nearest neighbours (Å) after each atom.
Space group P2_1/c (No. 14)
Inequivalent atoms, fractional coordinates:
1 Fe 0.0000 0.0000 0.0000 [2 per cell]  6 O 2.04-2.08
2 Bi 0.2744 0.0538 0.7617 [4 per cell]  6 O 2.32-2.50
3 Ir 0.5000 0.0000 0.5000 [2 per cell]  6 O 2.08-2.11
4 O 0.1473 0.0435 0.2481 [4 per cell]  1 Fe 2.04, 1 Ir 2.08
5 O 0.2628 0.7153 0.0607 [4 per cell]  1 Fe 2.06, 1 Ir 2.11
6 O 0.3527 0.1863 0.0314 [4 per cell]  1 Fe 2.08, 1 Ir 2.09